# ZrTlReMo2 (meta-GGA SCAN, PBEsol geometry)
# energy of formation from the pure elements: 1347 kJ/mol of formula units
# uncorrected energy: -45.9937 eV per atom
# density: 9.6 g/cm3
data_ZrTlReMo2
_chemical_formula_sum 'Zr1 Tl1 Re1 Mo2'
_symmetry_space_group_name_H-M 'P 4/m m m'
_symmetry_Int_Tables_number 123
_symmetry_space_group_name_Hall '-P 4 2'
_cell_length_a 4.8240
_cell_length_b 4.8240
_cell_length_c 5.0186
_cell_angle_alpha 90.00
_cell_angle_beta 90.00
_cell_angle_gamma 90.00
loop_
_atom_site_label
_atom_site_fract_x
_atom_site_fract_y
_atom_site_fract_z
Zr1 0.0000 0.0000 0.0000
Tl1 0.0000 0.0000 0.5000
Re1 0.5000 0.5000 0.0000
Mo1 0.0000 0.5000 0.5000

=====

# V2ReMo (meta-GGA SCAN, PBEsol geometry)
# energy of formation from the pure elements: -142 kJ/mol of formula units
# uncorrected energy: -35.6069 eV per atom
# density: 11.6 g/cm3
data_V2ReMo
_chemical_formula_sum 'V8 Re4 Mo4'
_symmetry_space_group_name_H-M 'F m -3 m'
_symmetry_Int_Tables_number 225
_symmetry_space_group_name_Hall '-F 4 2 3'
_cell_length_a 6.0397
_cell_length_b 6.0397
_cell_length_c 6.0397
_cell_angle_alpha 90.00
_cell_angle_beta 90.00
_cell_angle_gamma 90.00
loop_
_atom_site_label
_atom_site_fract_x
_atom_site_fract_y
_atom_site_fract_z
V1 0.2500 0.2500 0.2500
Re1 0.0000 0.0000 0.0000
Mo1 0.0000 0.0000 0.5000